1.
The following is a PBE calculation of a relaxed structure of MnFe2Se, from Alexandria.

Calculated values
E	-7.257	eV per atom
space group	Pm
formation energy from raw total energies	0.138	eV per atom

a = 3.156 Å, b = 3.094 Å, c = 5.903 Å
α = 74.56°, β = 90.00°, γ = 90.00°
Element x y z (fractional)
Mn1 0.000 0.560 0.504
Fe1 0.500 0.188 0.251
Fe2 0.000 0.795 0.039
Se1 0.500 0.958 0.706

=====

2.
The following is a PBE calculation of a relaxed structure of SiW2, from Alexandria.

Calculated values
E	-10.407	eV per atom
space group	C2/m
formation energy from raw total energies	0.036	eV per atom
relative energy among the computed polymorphs	4.30	kcal/mol of atoms

a = 4.950 Å, b = 4.950 Å, c = 7.101 Å
α = 60.15°, β = 60.15°, γ = 37.49°
Element x y z (fractional)
Si1 0.147 0.147 0.840
W1 0.430 0.430 0.834
W2 0.849 0.849 0.542
Si2 0.853 0.853 0.160
W3 0.151 0.151 0.458
W4 0.570 0.570 0.166